Material: KTcNi2
Method: DFT, PBE
State: optimized geometry Values from VASP.

The structure in Quantum ESPRESSO input format:
```
&SYSTEM
  ibrav = 0, nat = 4, ntyp = 3
/
ATOMIC_SPECIES
Ni 58.69 Ni.upf
K 39.10 K.upf
Tc 98.00 Tc.upf
ATOMIC_POSITIONS crystal
Ni 0.752 0.252 0.500
Ni 0.963 0.963 0.000
K 0.245 0.745 0.500
Tc 0.539 0.539 0.000
CELL_PARAMETERS angstrom
-0.102 -5.728 -1.079
4.819 -3.212 -0.661
-3.731 3.333 2.992
```

Summary:
formation enthalpy at 0 K	855.1	meV per atom
volume	16.20	Å³ per atom
total energy	-4.901	eV/atom
energy relative to the lowest polymorph listed for this composition	1.556	eV per formula unit
total magnetization	1.22	μB/f.u.
symmetry	No. 44

---

Material: KTcNi2
Method: DFT, PBE
State: optimized geometry Values from VASP.

The structure in Quantum ESPRESSO input format:
```
&SYSTEM
  ibrav = 0, nat = 4, ntyp = 3
/
ATOMIC_SPECIES
K 39.10 K.upf
Tc 98.00 Tc.upf
Ni 58.69 Ni.upf
ATOMIC_POSITIONS crystal
K 0.250 0.750 0.500
Tc 0.750 0.250 0.500
Ni 0.954 0.954 0.000
Ni 0.546 0.546 0.000
CELL_PARAMETERS angstrom
5.922 -0.004 -0.011
2.660 5.291 0.011
-3.242 -4.346 2.382
```

Summary:
formation enthalpy at 0 K	1117.7	meV per atom
volume	18.72	Å³ per atom
total energy	-4.639	eV/atom
energy relative to the lowest polymorph listed for this composition	2.606	eV per formula unit
total magnetization	0.34	μB/f.u.
symmetry	No. 71

---

Material: KTcNi2
Method: DFT, PBE
State: optimized geometry Values from VASP.

The structure in Quantum ESPRESSO input format:
```
&SYSTEM
  ibrav = 0, nat = 4, ntyp = 3
/
ATOMIC_SPECIES
Ni 58.69 Ni.upf
Tc 98.00 Tc.upf
K 39.10 K.upf
ATOMIC_POSITIONS crystal
Ni 0.000 0.000 0.000
Ni 0.500 0.500 0.000
Tc 0.500 0.000 0.500
K 0.000 0.500 0.500
CELL_PARAMETERS angstrom
-3.741 0.459 3.113
2.159 -3.121 3.081
1.215 1.991 1.166
```

Summary:
formation enthalpy at 0 K	906.7	meV per atom
volume	15.58	Å³ per atom
total energy	-4.850	eV/atom
energy relative to the lowest polymorph listed for this composition	1.762	eV per formula unit
total magnetization	1.19	μB/f.u.
symmetry	No. 65

---

Material: KTcNi2
Method: DFT, PBE
State: optimized geometry Values from VASP.

The structure in Quantum ESPRESSO input format:
```
&SYSTEM
  ibrav = 0, nat = 4, ntyp = 3
/
ATOMIC_SPECIES
K 39.10 K.upf
Ni 58.69 Ni.upf
Tc 98.00 Tc.upf
ATOMIC_POSITIONS crystal
K 0.500 0.500 0.770
Ni 0.500 0.500 0.237
Ni 0.000 0.000 0.062
Tc 0.000 0.000 0.431
CELL_PARAMETERS angstrom
-0.120 -2.627 -0.493
1.294 0.373 -2.312
7.869 -1.151 4.220
```

Summary:
formation enthalpy at 0 K	671.5	meV per atom
volume	16.11	Å³ per atom
total energy	-5.085	eV/atom
energy relative to the lowest polymorph listed for this composition	0.821	eV per formula unit
total magnetization	0.51	μB/f.u.
symmetry	No. 99

---

Material: KTcNi2
Method: DFT, PBE
State: optimized geometry Values from VASP.

The structure in Quantum ESPRESSO input format:
```
&SYSTEM
  ibrav = 0, nat = 4, ntyp = 3
/
ATOMIC_SPECIES
Ni 58.69 Ni.upf
Tc 98.00 Tc.upf
K 39.10 K.upf
ATOMIC_POSITIONS crystal
Ni 0.491 0.491 0.602
Ni 0.009 0.009 0.898
Tc 0.750 0.750 0.750
K 0.250 0.250 0.250
CELL_PARAMETERS angstrom
4.293 0.003 0.014
3.491 2.498 0.014
0.379 0.122 7.026
```

Summary:
formation enthalpy at 0 K	581.7	meV per atom
volume	18.81	Å³ per atom
total energy	-5.175	eV/atom
energy relative to the lowest polymorph listed for this composition	0.462	eV per formula unit
total magnetization	0.00	μB/f.u.
symmetry	No. 12

---

Material: K2TcNi
Method: DFT, PBE
State: optimized geometry Values from VASP.

The structure in Quantum ESPRESSO input format:
```
&SYSTEM
  ibrav = 0, nat = 4, ntyp = 3
/
ATOMIC_SPECIES
K 39.10 K.upf
Ni 58.69 Ni.upf
Tc 98.00 Tc.upf
ATOMIC_POSITIONS crystal
K 0.000 0.208 0.914
K 0.500 0.045 0.344
Ni 0.000 0.396 0.583
Tc 0.500 0.851 0.659
CELL_PARAMETERS angstrom
-2.960 -0.134 2.402
0.591 -2.682 0.579
6.435 1.403 8.010
```

Summary:
formation enthalpy at 0 K	714.1	meV per atom
volume	27.39	Å³ per atom
total energy	-3.871	eV/atom
energy relative to the lowest polymorph listed for this composition	0.000	eV per formula unit
total magnetization	0.00	μB/f.u.
symmetry	No. 6

---

Material: KTc2Ni
Method: DFT, PBE
State: optimized geometry Values from VASP.

The structure in Quantum ESPRESSO input format:
```
&SYSTEM
  ibrav = 0, nat = 4, ntyp = 3
/
ATOMIC_SPECIES
K 39.10 K.upf
Ni 58.69 Ni.upf
Tc 98.00 Tc.upf
ATOMIC_POSITIONS crystal
K 0.493 0.493 0.510
Ni 0.740 0.740 0.846
Tc 0.255 0.255 0.147
Tc 0.012 0.012 0.996
CELL_PARAMETERS angstrom
4.466 0.005 -0.108
3.696 2.507 -0.108
0.363 0.112 7.281
```

Summary:
formation enthalpy at 0 K	734.5	meV per atom
volume	20.37	Å³ per atom
total energy	-6.168	eV/atom
energy relative to the lowest polymorph listed for this composition	0.342	eV per formula unit
total magnetization	0.00	μB/f.u.
symmetry	No. 8

---

Material: KTcNi2
Method: DFT, PBE
State: optimized geometry Values from VASP.

The structure in Quantum ESPRESSO input format:
```
&SYSTEM
  ibrav = 0, nat = 4, ntyp = 3
/
ATOMIC_SPECIES
Tc 98.00 Tc.upf
K 39.10 K.upf
Ni 58.69 Ni.upf
ATOMIC_POSITIONS crystal
Tc 0.500 0.500 0.000
K 0.750 0.250 0.500
Ni 0.000 0.000 0.000
Ni 0.250 0.750 0.500
CELL_PARAMETERS angstrom
5.177 0.117 0.000
2.203 4.687 0.000
-3.690 -2.402 2.726
```

Summary:
formation enthalpy at 0 K	1348.5	meV per atom
volume	16.36	Å³ per atom
total energy	-4.408	eV/atom
energy relative to the lowest polymorph listed for this composition	3.529	eV per formula unit
total magnetization	3.05	μB/f.u.
symmetry	No. 119

---

Material: KTc2Ni
Method: DFT, PBE
State: optimized geometry Values from VASP.

The structure in Quantum ESPRESSO input format:
```
&SYSTEM
  ibrav = 0, nat = 4, ntyp = 3
/
ATOMIC_SPECIES
K 39.10 K.upf
Tc 98.00 Tc.upf
Ni 58.69 Ni.upf
ATOMIC_POSITIONS crystal
K 0.000 0.000 0.000
Tc 0.750 0.750 0.750
Tc 0.250 0.250 0.250
Ni 0.500 0.500 0.500
CELL_PARAMETERS angstrom
0.000 3.153 3.153
3.153 0.000 3.153
3.153 3.153 0.000
```

Summary:
formation enthalpy at 0 K	1703.6	meV per atom
volume	15.67	Å³ per atom
total energy	-5.199	eV/atom
energy relative to the lowest polymorph listed for this composition	4.219	eV per formula unit
total magnetization	0.00	μB/f.u.
symmetry	No. 225

---

Material: KTc2Ni
Method: DFT, PBE
State: optimized geometry Values from VASP.

The structure in Quantum ESPRESSO input format:
```
&SYSTEM
  ibrav = 0, nat = 4, ntyp = 3
/
ATOMIC_SPECIES
Tc 98.00 Tc.upf
K 39.10 K.upf
Ni 58.69 Ni.upf
ATOMIC_POSITIONS crystal
Tc 0.000 0.000 0.601
Tc 0.000 0.000 0.899
K 0.500 0.500 0.250
Ni 0.500 0.500 0.750
CELL_PARAMETERS angstrom
-2.535 -0.080 1.804
-1.506 -1.623 -2.187
2.570 -6.842 3.306
```

Summary:
formation enthalpy at 0 K	879.8	meV per atom
volume	19.42	Å³ per atom
total energy	-6.023	eV/atom
energy relative to the lowest polymorph listed for this composition	0.923	eV per formula unit
total magnetization	0.00	μB/f.u.
symmetry	No. 123

---

Material: K2TcNi
Method: DFT, PBE
State: optimized geometry Values from VASP.

The structure in Quantum ESPRESSO input format:
```
&SYSTEM
  ibrav = 0, nat = 4, ntyp = 3
/
ATOMIC_SPECIES
Ni 58.69 Ni.upf
Tc 98.00 Tc.upf
K 39.10 K.upf
ATOMIC_POSITIONS crystal
Ni 0.750 0.750 0.750
Tc 0.250 0.250 0.250
K 0.109 0.109 0.894
K 0.391 0.391 0.606
CELL_PARAMETERS angstrom
10.363 0.426 0.177
9.875 3.172 0.177
0.782 0.139 4.097
```

Summary:
formation enthalpy at 0 K	797.5	meV per atom
volume	29.26	Å³ per atom
total energy	-3.788	eV/atom
energy relative to the lowest polymorph listed for this composition	0.333	eV per formula unit
total magnetization	0.91	μB/f.u.
symmetry	No. 12

---

Material: KTc2Ni
Method: DFT, PBE
State: optimized geometry Values from VASP.

The structure in Quantum ESPRESSO input format:
```
&SYSTEM
  ibrav = 0, nat = 4, ntyp = 3
/
ATOMIC_SPECIES
Tc 98.00 Tc.upf
Ni 58.69 Ni.upf
K 39.10 K.upf
ATOMIC_POSITIONS crystal
Tc 0.000 0.176 0.894
Tc 0.000 0.324 0.606
Ni 0.500 0.750 0.750
K 0.500 0.250 0.250
CELL_PARAMETERS angstrom
4.047 0.000 0.000
0.000 2.689 0.003
0.000 1.423 7.596
```

Summary:
formation enthalpy at 0 K	804.5	meV per atom
volume	20.66	Å³ per atom
total energy	-6.098	eV/atom
energy relative to the lowest polymorph listed for this composition	0.622	eV per formula unit
total magnetization	0.00	μB/f.u.
symmetry	No. 10